Record 1
! TiGeRh5 (PBE, relaxed); values from VASP
&SYSTEM
  ibrav = 0, nat = 14, ntyp = 3
/
ATOMIC_SPECIES
Ge 72.64 Ge.upf
Rh 102.91 Rh.upf
Ti 47.87 Ti.upf
CELL_PARAMETERS angstrom
6.475 -1.020 0.079
1.087 6.464 0.079
2.847 2.050 5.546
ATOMIC_POSITIONS angstrom
Ge 0.000 0.000 0.000
Ge 1.424 1.025 2.773
Rh 2.141 2.792 1.036
Rh 4.751 2.169 3.808
Rh 8.269 4.702 4.668
Rh 3.708 4.775 0.103
Rh 5.658 5.325 1.896
Rh 4.250 6.574 4.238
Rh 7.128 3.027 2.876
Rh 6.701 2.719 5.601
Rh 3.281 4.467 2.828
Rh 6.159 0.920 1.466
Ti 4.728 2.908 1.466
Ti 5.681 4.586 4.238
! Theoretical density ... 8.948 g/cm³
! Formation enthalpy at 0 K ... -0.003 eV/atom



Record 2
! AcYMgTl (PBE, relaxed); values from VASP
&SYSTEM
  ibrav = 0, nat = 4, ntyp = 4
/
ATOMIC_SPECIES
Ac 227.00 Ac.upf
Mg 24.30 Mg.upf
Tl 204.38 Tl.upf
Y 88.91 Y.upf
CELL_PARAMETERS angstrom
5.613 0.000 0.000
2.807 4.861 0.000
2.807 1.620 4.583
ATOMIC_POSITIONS angstrom
Ac 2.807 1.620 1.146
Mg 5.613 3.241 2.292
Tl 0.000 0.000 0.000
Y 8.420 4.861 3.437
! Relative energy among the computed polymorphs ... 0.9 kJ/mol of atoms
! Theoretical density ... 7.231 g/cm³
! Formation enthalpy at 0 K ... -0.212 eV/atom



Record 3
! CsZrRhSe3 (PBE, relaxed); values from VASP
&SYSTEM
  ibrav = 0, nat = 12, ntyp = 4
/
ATOMIC_SPECIES
Se 78.96 Se.upf
Rh 102.91 Rh.upf
Cs 132.91 Cs.upf
Zr 91.22 Zr.upf
CELL_PARAMETERS angstrom
-0.353 3.160 -2.317
-7.771 -3.721 -3.889
-1.561 5.843 8.205
ATOMIC_POSITIONS angstrom
Se -4.185 1.429 -2.423
Se -7.281 -0.078 -4.006
Se -2.404 5.359 6.005
Se -5.500 3.852 4.422
Se -6.908 0.502 0.067
Se -2.777 4.780 1.931
Rh -1.707 3.954 3.982
Rh -7.978 1.328 -1.983
Cs -7.420 3.877 1.409
Cs -2.265 1.404 0.590
Zr -5.716 -0.838 -1.942
Zr -3.969 6.120 3.940
! Raw formation energy ... -6.5 eV/f.u.
! Theoretical density ... 5.475 g/cm³



Record 4
! TlIn3I4 (PBE, relaxed); values from VASP
&SYSTEM
  ibrav = 0, nat = 16, ntyp = 3
/
ATOMIC_SPECIES
Tl 204.38 Tl.upf
In 114.82 In.upf
I 126.90 I.upf
CELL_PARAMETERS angstrom
8.625 0.082 0.000
-2.944 8.090 0.000
0.000 0.000 9.949
ATOMIC_POSITIONS angstrom
Tl 6.468 0.061 8.702
Tl 2.156 0.020 1.248
In 0.684 4.066 8.693
In 6.468 0.061 3.726
In 0.684 4.066 3.725
In 4.996 4.107 1.257
In 2.156 0.020 6.223
In 4.996 4.107 6.225
I 7.880 2.127 1.249
I -2.199 6.045 8.700
I 3.584 2.069 3.752
I -0.728 2.028 6.198
I 2.113 6.086 1.249
I 6.409 6.144 3.752
I 2.096 6.103 6.198
I 3.567 2.086 8.700
! Raw formation energy ... -4.1 eV/f.u.
! Theoretical density ... 5.036 g/cm³



Record 5
! CrHS2 (PBE, relaxed); values from VASP
&SYSTEM
  ibrav = 0, nat = 8, ntyp = 3
/
ATOMIC_SPECIES
S 32.06 S.upf
H 1.01 H.upf
Cr 52.00 Cr.upf
CELL_PARAMETERS angstrom
6.268 0.000 0.000
0.000 3.390 0.000
-3.134 1.696 5.367
ATOMIC_POSITIONS angstrom
S 2.386 3.189 2.423
S 0.111 3.190 5.093
S -2.795 4.885 5.093
S -0.748 1.495 2.395
H 1.532 3.189 3.503
H 4.666 1.495 1.315
Cr 1.432 1.494 1.010
Cr -1.702 3.190 3.809
! Relative energy among the computed polymorphs ... 5.8 kJ/mol of atoms
! Theoretical density ... 3.411 g/cm³



Record 6
! Nd4SmTl4 (PBE, relaxed); values from VASP
&SYSTEM
  ibrav = 0, nat = 18, ntyp = 3
/
ATOMIC_SPECIES
Tl 204.38 Tl.upf
Nd 144.24 Nd.upf
Sm 150.36 Sm.upf
CELL_PARAMETERS angstrom
-3.401 -1.226 5.154
1.237 -9.213 -1.376
7.810 0.270 5.218
ATOMIC_POSITIONS angstrom
Tl -0.258 -2.344 2.220
Tl 3.006 -4.567 7.690
Tl 6.698 -7.539 5.574
Tl 3.081 -2.740 2.278
Tl 5.172 -6.489 2.767
Tl 0.033 -6.542 5.257
Tl 0.627 -8.981 3.019
Tl 4.226 -1.474 7.180
Nd 5.090 -6.980 8.399
Nd 4.878 -0.666 4.049
Nd -1.970 -4.100 4.425
Nd 3.295 -8.592 1.118
Nd 5.755 -4.149 5.667
Nd 3.380 -8.274 5.095
Nd 1.393 -2.211 5.226
Nd 0.766 -5.705 2.004
Sm 2.823 -5.085 4.498
Sm 0.000 0.000 0.000
! Theoretical density ... 9.231 g/cm³
! Formation enthalpy at 0 K ... -0.200 eV/atom



| no. | total DFT energy (no corrections) (eV for the cell shown) |
| --- | --- |
| 1 | -98.58 |
| 2 | -15.38 |
| 3 | -67.32 |
| 4 | -41.68 |
| 5 | -45.69 |
| 6 | -70.11 |